KSr2Nb5O15: optimized geometry, GGA-PBEsol.

Cell: 12.556 12.556 4.007 Å, 90.00 90.00 90.17°
Element x y z (fractional)
1 K 0.169 0.831 0.000
2 K 0.831 0.169 0.000
3 Sr 0.000 0.500 0.998
4 Sr 0.331 0.331 0.016
5 Sr 0.500 0.000 0.998
6 Sr 0.669 0.669 0.016
7 Nb 0.000 0.000 0.520
8 Nb 0.079 0.288 0.504
9 Nb 0.210 0.578 0.505
10 Nb 0.288 0.079 0.504
11 Nb 0.422 0.790 0.505
12 Nb 0.500 0.500 0.511
13 Nb 0.578 0.210 0.505
14 Nb 0.712 0.921 0.504
15 Nb 0.790 0.422 0.505
16 Nb 0.921 0.712 0.504
17 O 0.000 0.000 0.979
18 O 0.000 0.157 0.467
19 O 0.000 0.843 0.467
20 O 0.063 0.638 0.469
21 O 0.088 0.300 0.975
22 O 0.135 0.438 0.463
23 O 0.157 0.000 0.467
24 O 0.201 0.575 0.974
25 O 0.231 0.231 0.474
26 O 0.284 0.716 0.468
27 O 0.300 0.088 0.975
28 O 0.342 0.490 0.462
29 O 0.362 0.937 0.469
30 O 0.425 0.799 0.974
31 O 0.438 0.135 0.463
32 O 0.490 0.342 0.462
33 O 0.500 0.500 0.975
34 O 0.510 0.658 0.462
35 O 0.562 0.865 0.463
36 O 0.575 0.201 0.974
37 O 0.638 0.063 0.469
38 O 0.658 0.510 0.462
39 O 0.700 0.912 0.975
40 O 0.716 0.284 0.468
41 O 0.769 0.769 0.474
42 O 0.799 0.425 0.974
43 O 0.843 0.000 0.467
44 O 0.865 0.562 0.463
45 O 0.912 0.700 0.975
46 O 0.937 0.362 0.469

E_tot = -8.6636 eV per atom
SG = Cmm2
volume = 13.734 Å³/atom